1.
Computed, not measured: crystalline La3Pr3Sm5 at its relaxed geometry at the PBE-GGA level of DFT.

Unit cell a=9.7114 b=9.7114 c=5.6261 alpha=90.00 beta=90.00 gamma=120.00
Last column: nearest neighbours and their distance in Å.
Space group P-62m (No. 189)
One atom of each set of equivalent atoms:
La (0.0000, 0.3649, 0.0000)  2 Pr 3.09, 4 Sm 3.10-3.19
Pr (0.0000, 0.4967, 0.5000)  2 La 3.09
Sm (0.0000, 0.7271, 0.0000)  3 La 3.19-3.52, 2 Sm 3.57
Sm (0.3333, 0.6667, 0.0000)  3 La 3.10

For the total magnetization, the calculation gives 0.00 μB/f.u. The density of states at the Fermi level comes out at 18.77 states/eV/cell. The formation energy comes out at 0.68 eV/atom. For the energy above the most stable polymorph in this dataset, the calculation gives 0.016 eV/atom.

2.
Computed, not measured: crystalline La3Pr3Sm4 at its relaxed geometry at the PBE-GGA level of DFT.

Unit cell a=3.7683 b=13.9288 c=13.9009 alpha=90.00 beta=90.00 gamma=90.00
Last column: nearest neighbours and their distance in Å.
Space group Amm2 (No. 38)
One atom of each set of equivalent atoms:
La (0.0000, 0.0000, 0.0000)  6 Sm 3.38-3.53, 2 La 3.77
La (0.5000, 0.2490, 0.4236)  4 La 3.77-4.11, 4 Sm 3.87-3.91, 6 Pr 4.09
Pr (0.0000, 0.0000, 0.3476)  6 Sm 3.38-3.51, 2 Pr 3.77
Pr (0.0000, 0.1737, 0.6739)  6 Sm 3.38-3.52, 2 Pr 3.77
Sm (0.5000, 0.0000, 0.5497)  6 Pr 3.38-3.52, 3 Sm 3.45-3.77
Sm (0.5000, 0.0000, 0.7980)  2 La 3.38, 3 Sm 3.45-3.77, 4 Pr 3.52
Sm (0.5000, 0.1246, 0.1750)  4 Pr 3.38-3.51, 3 Sm 3.47-3.77, 2 La 3.53

For the total magnetization, the calculation gives 0.14 μB/f.u. The density of states at the Fermi level comes out at 25.00 states/eV/cell. The formation energy comes out at 0.09 eV/atom.

3.
Computed, not measured: crystalline LaPr4Sm4 at its relaxed geometry at the PBE-GGA level of DFT.

Unit cell a=11.0448 b=11.0448 c=5.2131 alpha=90.00 beta=90.00 gamma=90.00
Last column: nearest neighbours and their distance in Å.
Space group I4/mmm (No. 139)
One atom of each set of equivalent atoms:
La (0.0000, 0.0000, 0.0000)  4 Pr 3.67, 8 Sm 3.69
Pr (0.0000, 0.3324, 0.0000)  1 La 3.67, 6 Sm 3.68, 5 Pr 3.69-3.70
Sm (0.1672, 0.1672, 0.5000)  4 Sm 3.67-3.69, 6 Pr 3.68, 2 La 3.69

For the total magnetization, the calculation gives 0.00 μB/f.u. The density of states at the Fermi level comes out at 29.41 states/eV/cell. The formation energy comes out at 0.02 eV/atom.

4.
Computed, not measured: crystalline LaPr4Sm7 at its relaxed geometry at the PBE-GGA level of DFT.

Unit cell a=12.2738 b=6.1018 c=13.0496 alpha=90.00 beta=117.97 gamma=90.00
Last column: nearest neighbours and their distance in Å.
Space group C2/m (No. 12)
One atom of each set of equivalent atoms:
La (0.0000, 0.0000, 0.0000)  4 Sm 3.05-3.18
Pr (0.1342, 0.5000, 0.7766)  7 Sm 3.48-3.73, 2 Pr 3.78
Pr (0.2413, 0.0000, 0.6775)  5 Sm 3.35-3.70
Sm (0.0000, 0.5000, 0.0000)  2 La 3.05, 2 Sm 3.21
Sm (0.0624, 0.0000, 0.3271)  4 Sm 3.36-3.65, 3 Pr 3.70-3.73
Sm (0.1314, 0.5000, 0.5002)  2 Sm 3.22-3.36, 3 Pr 3.35-3.59
Sm (0.2097, 0.0000, 0.9219)  1 La 3.18, 4 Sm 3.21-3.54, 4 Pr 3.39-3.48

For the total magnetization, the calculation gives 0.00 μB/f.u. The density of states at the Fermi level comes out at 38.43 states/eV/cell. The formation energy comes out at 0.22 eV/atom. For the energy above the most stable polymorph in this dataset, the calculation gives 0.213 eV/atom.

5.
Computed, not measured: crystalline La2Pr8Sm at its relaxed geometry at the PBE-GGA level of DFT.

Unit cell a=17.1509 b=6.9399 c=6.9063 alpha=90.00 beta=100.74 gamma=90.00
Last column: nearest neighbours and their distance in Å.
Space group C2/m (No. 12)
One atom of each set of equivalent atoms:
La (0.1976, 0.0000, 0.3119)  7 Pr 3.44-3.77, 1 Sm 3.85
Pr (0.0871, 0.2627, 0.9074)  5 Pr 3.29-3.65, 1 Sm 3.45, 1 La 3.57
Pr (0.0905, 0.5000, 0.4137)  8 Pr 3.51-3.86, 1 La 3.77, 2 Sm 3.89
Pr (0.2440, 0.0000, 0.8181)  5 Pr 3.40-3.56, 4 La 3.44-3.77
Sm (0.0000, 0.0000, 0.5000)  4 Pr 3.45, 2 La 3.85

For the total magnetization, the calculation gives 0.00 μB/f.u. The density of states at the Fermi level comes out at 37.81 states/eV/cell. The formation energy comes out at 0.14 eV/atom. For the energy above the most stable polymorph in this dataset, the calculation gives 0.125 eV/atom.

6.
Computed, not measured: crystalline La12Pr7Sm at its relaxed geometry at the PBE-GGA level of DFT.

Unit cell a=18.9423 b=18.9423 c=7.1865 alpha=90.00 beta=90.00 gamma=120.00
Last column: nearest neighbours and their distance in Å.
Space group R-3 (No. 148, hexagonal axes)
One atom of each set of equivalent atoms:
La (0.0014, 0.2175, 0.2831)  4 La 3.30-3.58, 2 Pr 3.63-3.68
La (0.0072, 0.5393, 0.7392)  2 Pr 3.19-3.35, 3 La 3.30-3.54
Pr (0.0000, 0.0000, 0.5000)  6 Pr 3.50, 2 Sm 3.59
Pr (0.0041, 0.1564, 0.7681)  2 La 3.19-3.35, 1 Sm 3.37, 1 Pr 3.50
Sm (0.0000, 0.0000, 0.0000)  8 Pr 3.37-3.59

For the total magnetization, the calculation gives 0.00 μB/f.u. The density of states at the Fermi level comes out at 88.02 states/eV/cell. The formation energy comes out at 0.23 eV/atom. For the energy above the most stable polymorph in this dataset, the calculation gives 0.061 eV/atom.

7.
Computed, not measured: crystalline LaPr12Sm7 at its relaxed geometry at the PBE-GGA level of DFT.

Unit cell a=17.3799 b=17.3799 c=8.3418 alpha=90.00 beta=90.00 gamma=120.00
Last column: nearest neighbours and their distance in Å.
Space group R-3 (No. 148, hexagonal axes)
One atom of each set of equivalent atoms:
La (0.0000, 0.0000, 0.0000)  8 Sm 3.97-4.17, 6 Pr 4.26
Pr (0.9998, 0.2857, 0.9995)  2 Pr 3.13, 2 Sm 3.50
Pr (0.1053, 0.5526, 0.9696)  1 Pr 3.21, 3 Sm 3.37-3.57
Sm (0.0000, 0.0000, 0.5000)  6 Sm 3.80, 6 Pr 3.81, 2 La 4.17
Sm (0.1090, 0.2179, 0.7309)  7 Pr 3.37-3.57

For the total magnetization, the calculation gives 0.00 μB/f.u. The density of states at the Fermi level comes out at 92.15 states/eV/cell. The formation energy comes out at 0.20 eV/atom. For the energy above the most stable polymorph in this dataset, the calculation gives 0.000 eV/atom.

8.
Computed, not measured: crystalline LaPr7Sm12 at its relaxed geometry at the PBE-GGA level of DFT.

Unit cell a=11.6086 b=11.6086 c=11.6086 alpha=90.00 beta=90.00 gamma=90.00
Last column: nearest neighbours and their distance in Å.
Space group Im-3m (No. 229)
One atom of each set of equivalent atoms:
La (0.0000, 0.0000, 0.0000)  12 Sm 4.13
Pr (0.0000, 0.0000, 0.5000)  12 Sm 4.08-4.10
Pr (0.2500, 0.2500, 0.2500)  6 Sm 2.90
Sm (0.0000, 0.2515, 0.2515)  2 Pr 2.90

For the total magnetization, the calculation gives 0.00 μB/f.u. The density of states at the Fermi level comes out at 61.90 states/eV/cell. The formation energy comes out at 0.58 eV/atom. For the energy above the most stable polymorph in this dataset, the calculation gives 0.367 eV/atom.